No. 1
Na2YGaH PBE optimized geometry; Fermi-level density of states = 3.334 states/eV per cell; raw total energy = -2.920 eV/atom
1.0
4.490 0.000 0.000
0.000 4.490 0.000
0.000 0.000 5.415
Na Y Ga H
2 1 1 1
Direct
0.000 0.500 0.000 Na
0.500 0.000 0.000 Na
0.000 0.000 0.500 Y
0.500 0.500 0.500 Ga
0.500 0.500 0.000 H

***

No. 2
TlIrSeO5 PBE optimized geometry; ΔE_f (raw) = -538 meV/atom
1.0
3.800 -5.866 0.000
3.800 5.866 0.000
-1.175 0.000 9.235
Tl Ir Se O
2 2 2 10
Direct
0.000 0.500 0.000 Tl
0.500 0.000 0.500 Tl
0.030 0.970 0.250 Ir
0.970 0.030 0.750 Ir
0.475 0.525 0.750 Se
0.525 0.475 0.250 Se
0.132 0.216 0.177 O
0.181 0.819 0.250 O
0.216 0.132 0.677 O
0.376 0.592 0.892 O
0.408 0.624 0.608 O
0.592 0.376 0.392 O
0.624 0.408 0.108 O
0.784 0.868 0.323 O
0.819 0.181 0.750 O
0.868 0.784 0.823 O

***

No. 3
Ga2GeBi2 PBE optimized geometry; Fermi-level density of states = 2.448 states/eV per cell; energy of formation = 0.164 eV per atom
1.0
-1.905 1.905 8.721
1.905 -1.905 8.721
1.905 1.905 -8.721
Ga Ge Bi
2 1 2
Direct
0.250 0.750 0.500 Ga
0.750 0.250 0.500 Ga
0.000 0.000 0.000 Ge
0.403 0.403 0.000 Bi
0.597 0.597 0.000 Bi

***

No. 4
Rb2PrRuO6 PBE optimized geometry; Fermi-level density of states = 4.148 states/eV per cell; ΔE_f (raw) = -1656 meV/atom
1.0
0.000 4.303 4.303
4.303 0.000 4.303
4.303 4.303 0.000
Rb Pr Ru O
2 1 1 6
Direct
0.250 0.250 0.250 Rb
0.750 0.750 0.750 Rb
0.000 0.000 0.000 Pr
0.500 0.500 0.500 Ru
0.277 0.277 0.723 O
0.277 0.723 0.277 O
0.277 0.723 0.723 O
0.723 0.277 0.277 O
0.723 0.277 0.723 O
0.723 0.723 0.277 O

***

No. 5
Cr2CdSe PBE optimized geometry; Fermi-level density of states = 2.441 states/eV per cell; ΔE_f (raw) = 168 meV/atom
1.0
3.025 0.000 0.000
0.000 3.025 0.000
0.000 0.000 7.558
Cr Cd Se
2 1 1
Direct
0.000 0.000 0.000 Cr
0.500 0.500 0.155 Cr
0.500 0.500 0.751 Cd
0.000 0.000 0.338 Se

***

No. 6
CaNd5Sm PBE optimized geometry; Fermi-level density of states = 10.115 states/eV per cell; energy of formation = 0.281 eV per atom
1.0
5.814 0.000 0.000
0.000 5.814 0.000
0.000 0.000 7.834
Ca Nd Sm
1 5 1
Direct
0.000 0.000 0.000 Ca
0.000 0.500 0.281 Nd
0.000 0.500 0.719 Nd
0.500 0.000 0.281 Nd
0.500 0.000 0.719 Nd
0.500 0.500 0.000 Nd
0.500 0.500 0.500 Sm

***

No. 7
Ir2WSe PBE optimized geometry; Fermi-level density of states = 3.415 states/eV per cell; ΔE_f (raw) = 236 meV/atom
1.0
2.882 0.000 0.000
0.000 3.865 0.000
-0.116 0.000 5.637
Ir W Se
2 1 1
Direct
0.013 0.000 0.236 Ir
0.987 0.000 0.764 Ir
0.500 0.500 0.000 W
0.500 0.500 0.500 Se

***

No. 8
PmDy3 PBE optimized geometry; Fermi-level density of states = 9.423 states/eV per cell; energy of formation = 0.140 eV per atom
1.0
0.000 4.022 4.022
4.022 0.000 4.022
4.022 4.022 0.000
Pm Dy
1 3
Direct
0.000 0.000 0.000 Pm
0.250 0.250 0.250 Dy
0.500 0.500 0.500 Dy
0.750 0.750 0.750 Dy

***

No. 9
Nd2YPd PBE optimized geometry; Fermi-level density of states = 5.190 states/eV per cell; energy of formation = -0.240 eV per atom
1.0
1.928 1.113 9.640
-1.928 1.113 9.640
0.000 -2.226 9.640
Nd Y Pd
2 1 1
Direct
0.000 0.000 0.000 Nd
0.201 0.201 0.201 Nd
0.434 0.434 0.434 Y
0.601 0.601 0.601 Pd

***

No. 10
SrPm5Bi6 PBE optimized geometry; Fermi-level density of states = 4.182 states/eV per cell; energy of formation = -0.897 eV per atom
1.0
3.999 -6.938 0.000
3.999 6.938 0.000
-2.674 0.000 7.538
Sr Pm Bi
1 5 6
Direct
0.000 0.000 0.000 Sr
0.164 0.836 0.500 Pm
0.332 0.668 0.000 Pm
0.500 0.500 0.500 Pm
0.668 0.332 0.000 Pm
0.836 0.164 0.500 Pm
0.085 0.427 0.255 Bi
0.257 0.257 0.747 Bi
0.427 0.085 0.255 Bi
0.573 0.915 0.745 Bi
0.743 0.743 0.253 Bi
0.915 0.573 0.745 Bi

***

No. 11
NaV2SiC PBE optimized geometry; Fermi-level density of states = 6.595 states/eV per cell; ΔE_f (raw) = 1947 meV/atom
1.0
4.597 0.000 0.000
0.000 4.597 0.000
0.000 0.000 5.020
Na V Si C
1 2 1 1
Direct
0.000 0.000 0.000 Na
0.000 0.500 0.500 V
0.500 0.000 0.500 V
0.000 0.000 0.500 Si
0.500 0.500 0.000 C

***

No. 12
BaNiTe2 PBE optimized geometry; Fermi-level density of states = 0.499 states/eV per cell; ΔE_f (raw) = -580 meV/atom
1.0
2.192 1.266 7.252
-2.192 1.266 7.252
0.000 -2.531 7.252
Ba Ni Te
1 1 2
Direct
0.000 0.000 0.000 Ba
0.500 0.500 0.500 Ni
0.226 0.226 0.226 Te
0.774 0.774 0.774 Te